# 1
Computed, not measured: crystalline VCo4Pt2 at its relaxed geometry at the PBE-GGA level of DFT.

Calculated values
- crystal system = triclinic
- symmetry = P1, No. 1
- ΔE_f (eV per atom) = -0.155
- Fermi-level density of states (states/eV/f.u.) = 7.48

abc: 4.9846 6.2278 6.7163
angles: 65.00 70.77 75.72
Positions (direct):
V 0.0000 0.0000 0.0000
V 0.3861 0.5187 0.5852
Co 0.1142 0.3716 0.0109
Co 0.2590 0.9530 0.2904
Co 0.2980 0.1276 0.5624
Co 0.4396 0.7138 0.8472
Co 0.5090 0.0842 0.8791
Co 0.5641 0.2704 0.1329
Co 0.6687 0.6700 0.1541
Co 0.7049 0.8561 0.4130
Pt 0.1548 0.5767 0.2667
Pt 0.8043 0.2323 0.4299
Pt 0.8553 0.4138 0.7173
Pt 0.9658 0.8064 0.7326

=====

# 2
Computed, not measured: crystalline Y3HfAs at its relaxed geometry at the PBE-GGA level of DFT.

Calculated values
- crystal system = cubic
- symmetry = Pm-3m, No. 221
- ΔE_f (eV per atom) = 0.701
- Fermi-level density of states (states/eV/f.u.) = 3.89
- offset from the most stable computed form (meV/atom) = 735

abc: 5.4600 5.4600 5.4600
angles: 90.00 90.00 90.00
Positions (direct):
Y 0.0000 0.0000 0.5000
Y 0.0000 0.5000 0.0000
Y 0.5000 0.0000 0.0000
Hf 0.0000 0.0000 0.0000
As 0.5000 0.5000 0.5000

=====

# 3
Computed, not measured: crystalline HoAuI6 at its relaxed geometry at the PBE-GGA level of DFT.

Calculated values
- crystal system = triclinic
- symmetry = P-1, No. 2
- energy relative to the elements, uncorrected (kcal/mol of atoms) = -14.8

abc: 6.3378 7.8827 8.6677
angles: 67.77 72.82 85.74
Positions (direct):
Ho 0.0000 0.0000 0.0000
Au 0.5000 0.5000 0.0000
I 0.0314 0.8131 0.3526
I 0.2783 0.3649 0.8401
I 0.4012 0.8356 0.8078
I 0.5988 0.1644 0.1922
I 0.7217 0.6351 0.1599
I 0.9686 0.1869 0.6474

=====

# 4
Computed, not measured: crystalline InSbSe at its relaxed geometry at the PBE-GGA level of DFT.

Calculated values
- crystal system = monoclinic
- symmetry = P2_1, No. 4
- Fermi-level density of states (states/eV/f.u.) = 0.56
- energy relative to the elements, uncorrected (kcal/mol of atoms) = -4.4

abc: 3.7102 6.2030 8.4056
angles: 90.00 102.79 90.00
Positions (direct):
In 0.1839 0.0000 0.3689
In 0.8161 0.5000 0.6311
Sb 0.0107 0.0419 0.0224
Sb 0.9893 0.5419 0.9776
Se 0.2035 0.5583 0.4068
Se 0.7965 0.0583 0.5932

=====

# 5
Computed, not measured: crystalline MnCrTcPd at its relaxed geometry at the PBE-GGA level of DFT.

Calculated values
- crystal system = monoclinic
- symmetry = Cm, No. 8
- ΔE_f (eV per atom) = 0.121
- Fermi-level density of states (states/eV/f.u.) = 4.97
- offset from the most stable computed form (meV/atom) = 62

abc: 5.0864 5.0864 4.6272
angles: 115.84 115.84 31.05
Positions (direct):
Mn 0.0000 0.0000 0.0000
Cr 0.2624 0.2624 0.6003
Tc 0.7515 0.7515 0.0910
Pd 0.5079 0.5079 0.5026

=====

# 6
Computed, not measured: crystalline Zr2AlW at its relaxed geometry at the PBE-GGA level of DFT.

Calculated values
- crystal system = tetragonal
- symmetry = P4/mmm, No. 123
- ΔE_f (eV per atom) = -0.198
- Fermi-level density of states (states/eV/f.u.) = 2.44

abc: 3.4529 3.4529 6.4699
angles: 90.00 90.00 90.00
Positions (direct):
Zr 0.0000 0.0000 0.2412
Zr 0.0000 0.0000 0.7588
Al 0.5000 0.5000 0.5000
W 0.5000 0.5000 0.0000

=====

Number 1: calculated density 12.70 Mg/m³. Number 2: calculated density 5.31 Mg/m³. Number 3: calculated density 4.88 Mg/m³. Number 4: calculated density 5.55 Mg/m³. Number 5: calculated density 9.39 Mg/m³. Number 6: calculated density 8.47 Mg/m³.